Record 1
DFT (SCAN) results for a crystal of As2RhCl relaxed with PBEsol.

a = 4.484 Å, b = 4.484 Å, c = 4.484 Å
α = 60.00°, β = 60.00°, γ = 60.00°
Sites, in units of the cell vectors:
As 0.250 0.250 0.250
As 0.750 0.750 0.750
Rh 0.000 0.000 0.000
Cl 0.500 0.500 0.500

## Properties
- space-group type = Fm-3m



Record 2
DFT (SCAN) results for a crystal of As2RhSeCl relaxed with PBEsol.

a = 4.699 Å, b = 4.699 Å, c = 4.623 Å
α = 90.00°, β = 90.00°, γ = 90.00°
Sites, in units of the cell vectors:
As 0.000 0.500 0.000
As 0.500 0.000 0.000
Rh 0.000 0.000 0.500
Se 0.500 0.500 0.500
Cl 0.500 0.500 0.000

## Properties
- space-group type = P4/mmm



Record 3
DFT (SCAN) results for a crystal of SrAsRh2Cl relaxed with PBEsol.

a = 4.448 Å, b = 4.448 Å, c = 6.315 Å
α = 90.00°, β = 90.00°, γ = 90.00°
Sites, in units of the cell vectors:
Sr 0.000 0.000 0.000
As 0.000 0.000 0.500
Rh 0.000 0.500 0.500
Rh 0.500 0.000 0.500
Cl 0.500 0.500 0.000

## Properties
- space-group type = P4/mmm



Record 4
DFT (SCAN) results for a crystal of AsRu2Cl relaxed with PBEsol.

a = 5.942 Å, b = 5.942 Å, c = 5.942 Å
α = 152.31°, β = 141.97°, γ = 47.69°
Sites, in units of the cell vectors:
As 0.000 0.000 0.000
Ru 0.582 0.582 0.000
Ru 0.803 0.303 0.500
Cl 0.269 0.769 0.500

## Properties
- space-group type = Imm2



Record 5
DFT (SCAN) results for a crystal of AsSCl2 relaxed with PBEsol.

a = 9.133 Å, b = 9.133 Å, c = 9.133 Å
α = 19.84°, β = 19.84°, γ = 19.84°
Sites, in units of the cell vectors:
As 0.000 0.000 0.000
S 0.500 0.500 0.500
Cl 0.416 0.416 0.416
Cl 0.584 0.584 0.584

## Properties
- space-group type = R-3m



Record 6
DFT (SCAN) results for a crystal of SrAsSCl2 relaxed with PBEsol.

a = 5.030 Å, b = 5.030 Å, c = 4.915 Å
α = 90.00°, β = 90.00°, γ = 90.00°
Sites, in units of the cell vectors:
Sr 0.000 0.000 0.000
As 0.500 0.500 0.500
S 0.500 0.500 0.000
Cl 0.000 0.500 0.500
Cl 0.500 0.000 0.500

## Properties
- space-group type = P4/mmm



Record 7
DFT (SCAN) results for a crystal of ZrAsSCl2 relaxed with PBEsol.

a = 4.833 Å, b = 4.833 Å, c = 4.816 Å
α = 90.00°, β = 90.00°, γ = 90.00°
Sites, in units of the cell vectors:
Zr 0.000 0.000 0.000
As 0.500 0.500 0.500
S 0.500 0.500 0.000
Cl 0.000 0.500 0.500
Cl 0.500 0.000 0.500

## Properties
- space-group type = P4/mmm



Record 8
DFT (SCAN) results for a crystal of Sb3AsCl relaxed with PBEsol.

a = 5.348 Å, b = 5.348 Å, c = 5.348 Å
α = 90.00°, β = 90.00°, γ = 90.00°
Sites, in units of the cell vectors:
Sb 0.000 0.000 0.500
Sb 0.000 0.500 0.000
Sb 0.500 0.000 0.000
As 0.000 0.000 0.000
Cl 0.500 0.500 0.500

## Properties
- space-group type = Pm-3m



no.,ρ (g/cm3),raw formation energy (eV/atom)
1,7.50,0.35
2,5.97,1.42
3,5.37,-0.51
4,8.67,0.38
5,3.85,0.42
6,3.55,-1.08
7,3.97,0.08
8,5.16,0.58